No. 1
An optimized crystal structure of AlZnFe2. Source: the Alexandria database, functional PBE.

Unit cell a=6.629 b=6.629 c=5.335 alpha=51.59 beta=51.59 gamma=90.00
Positions (direct):
Zn: 0.000 0.000 0.000
Zn: 0.750 0.250 0.500
Fe: 0.625 0.125 0.250
Fe: 0.125 0.625 0.250
Fe: 0.375 0.375 0.750
Fe: 0.875 0.875 0.750
Al: 0.500 0.500 0.000
Al: 0.250 0.750 0.500

***

No. 2
An optimized crystal structure of BaInAu3. Source: the Alexandria database, functional PBE.

Calculated values
Energy relative to the lowest polymorph listed for this composition: 0.81 eV per formula unit

Unit cell a=5.313 b=7.465 c=7.550 alpha=90.00 beta=90.00 gamma=90.00
Positions (direct):
Ba: 0.500 0.000 0.000
Ba: 0.500 0.500 0.500
In: 0.000 0.500 0.000
In: 0.000 0.000 0.500
Au: 0.500 0.500 0.000
Au: 0.500 0.000 0.500
Au: 0.000 0.733 0.266
Au: 0.000 0.233 0.234
Au: 0.000 0.267 0.734
Au: 0.000 0.767 0.766

***

No. 3
An optimized crystal structure of GeMoPd3. Source: the Alexandria database, functional PBE.

Calculated values
Energy relative to the lowest polymorph listed for this composition: 0.00 eV per formula unit

Unit cell a=4.612 b=4.612 c=4.612 alpha=90.00 beta=90.00 gamma=90.00
Positions (direct):
Mo: 0.500 0.500 0.500
Ge: 0.000 0.000 0.000
Pd: 0.000 0.500 0.000
Pd: 0.000 0.000 0.500
Pd: 0.500 0.000 0.000

***

no.,D(E_F) (states/eV per cell),volume (Å³ per cell),ΔH_f (0 K) (eV per formula unit)
1,5.0,112,1.14
2,3.6,299,-1.74
3,4.0,98,3.37